No. 1
Here is a relaxed structure of Dy3Th2Sc8 from Alexandria via LeMat-Bulk. Energies are from PBE.

a = 6.1667 Å, b = 6.1667 Å, c = 11.8704 Å
α = 74.94°, β = 74.94°, γ = 60.00°
Last column: nearest neighbours and their distance in Å.
Element x y z (fractional)
Dy: 0.1855 0.1855 0.4434  4 Sc 2.99-3.21
Sc: 0.2729 0.2729 0.6799  4 Sc 3.07-3.09, 1 Th 3.16, 3 Dy 3.21-3.38
Sc: 0.7264 0.7264 0.8209  1 Dy 2.99, 1 Th 3.05
Sc: 0.2736 0.2736 0.1791  1 Dy 2.99, 1 Th 3.05
Sc: 0.7743 0.2729 0.6799  4 Sc 3.07-3.09, 1 Th 3.16, 3 Dy 3.21-3.38
Sc: 0.7271 0.7271 0.3201  4 Sc 3.07-3.09, 1 Th 3.16, 3 Dy 3.21-3.38
Sc: 0.7271 0.2257 0.3201  4 Sc 3.07-3.09, 1 Th 3.16, 3 Dy 3.21-3.38
Dy: 0.0000 0.0000 0.0000  6 Th 3.70, 12 Sc 4.04-4.10
Sc: 0.2257 0.7271 0.3201  4 Sc 3.07-3.09, 1 Th 3.16, 3 Dy 3.21-3.38
Sc: 0.2729 0.7743 0.6799  4 Sc 3.07-3.09, 1 Th 3.16, 3 Dy 3.21-3.38
Th: 0.3634 0.3634 0.9098  4 Sc 3.05-3.16
Dy: 0.8145 0.8145 0.5566  4 Sc 2.99-3.21
Th: 0.6366 0.6366 0.0902  4 Sc 3.05-3.16

***

No. 2
Here is a relaxed structure of Dy5Th2Sc3 from Alexandria via LeMat-Bulk. Energies are from PBE.

a = 10.9349 Å, b = 9.7542 Å, c = 11.4379 Å
α = 133.85°, β = 135.69°, γ = 56.13°
Last column: nearest neighbours and their distance in Å.
Element x y z (fractional)
Dy: 0.5304 0.8123 0.2486  2 Sc 3.01-3.11, 1 Dy 3.24
Sc: 0.0396 0.8136 0.2611  2 Dy 3.01-3.17, 1 Sc 3.08
Sc: 0.7568 0.0068 0.0136  2 Sc 3.08, 2 Dy 3.11, 4 Th 3.16-3.31
Sc: 0.2785 0.5525 0.7389  2 Dy 3.01-3.17, 1 Sc 3.08
Sc: 0.9604 0.1864 0.7389  2 Dy 3.01-3.17, 1 Sc 3.08
Dy: 0.2477 0.4977 0.9955  2 Dy 3.17-3.20
Th: 0.6278 0.1263 0.2514  2 Sc 3.16-3.31, 2 Dy 3.32-3.42, 1 Th 3.46
Th: 0.8764 0.8749 0.7486  2 Sc 3.16-3.31, 2 Dy 3.32-3.42, 1 Th 3.46
Dy: 0.9843 0.7343 0.4687  4 Sc 3.17-3.42, 3 Dy 3.20-3.48, 2 Th 3.32
Dy: 0.0157 0.2657 0.5313  4 Sc 3.17-3.42, 3 Dy 3.20-3.48, 2 Th 3.32
Sc: 0.2432 0.9932 0.9864  2 Sc 3.08, 2 Dy 3.11, 4 Th 3.16-3.31
Dy: 0.4696 0.1877 0.7514  2 Sc 3.01-3.11, 1 Dy 3.24
Th: 0.1236 0.1251 0.2514  2 Sc 3.16-3.31, 2 Dy 3.32-3.42, 1 Th 3.46
Dy: 0.4780 0.7280 0.4559  5 Dy 3.17-3.44, 2 Sc 3.39, 2 Th 3.42
Dy: 0.2182 0.4363 0.2486  2 Sc 3.01-3.11, 1 Dy 3.24
Sc: 0.7215 0.4475 0.2611  2 Dy 3.01-3.17, 1 Sc 3.08
Dy: 0.7523 0.5023 0.0045  2 Dy 3.17-3.20
Dy: 0.7818 0.5637 0.7514  2 Sc 3.01-3.11, 1 Dy 3.24
Dy: 0.5220 0.2720 0.5441  5 Dy 3.17-3.44, 2 Sc 3.39, 2 Th 3.42
Th: 0.3722 0.8737 0.7486  2 Sc 3.16-3.31, 2 Dy 3.32-3.42, 1 Th 3.46

***

No. 3
Here is a relaxed structure of Dy8ThSc2 from Alexandria via LeMat-Bulk. Energies are from PBE.

a = 4.9535 Å, b = 7.8244 Å, c = 9.2480 Å
α = 104.91°, β = 105.53°, γ = 90.00°
Last column: nearest neighbours and their distance in Å.
Element x y z (fractional)
Sc: 0.7712 0.3664 0.5425  10 Dy 3.42-3.54, 2 Sc 3.45
Dy: 0.8620 0.8114 0.7239  3 Sc 3.42-3.46, 7 Dy 3.47-3.51, 2 Th 3.52
Th: 0.5000 0.0000 0.0000  12 Dy 3.49-3.52
Dy: 0.4062 0.5436 0.8123  3 Sc 3.42-3.47, 8 Dy 3.47-3.59, 1 Th 3.52
Dy: 0.0469 0.7317 0.0938  9 Dy 3.48-3.56, 2 Th 3.49, 1 Sc 3.52
Dy: 0.6820 0.9116 0.3639  8 Dy 3.48-3.51, 3 Sc 3.49-3.54, 1 Th 3.49
Dy: 0.3180 0.0884 0.6361  8 Dy 3.48-3.51, 3 Sc 3.49-3.54, 1 Th 3.49
Dy: 0.9531 0.2683 0.9062  9 Dy 3.48-3.56, 2 Th 3.49, 1 Sc 3.52
Dy: 0.1380 0.1886 0.2761  3 Sc 3.42-3.46, 7 Dy 3.47-3.51, 2 Th 3.52
Dy: 0.5938 0.4564 0.1877  3 Sc 3.42-3.47, 8 Dy 3.47-3.59, 1 Th 3.52
Sc: 0.2288 0.6336 0.4575  10 Dy 3.42-3.54, 2 Sc 3.45

***

No. 4
Here is a relaxed structure of Dy5Th2Sc2 from Alexandria via LeMat-Bulk. Energies are from PBE.

a = 13.6680 Å, b = 5.6133 Å, c = 9.1451 Å
α = 107.87°, β = 122.87°, γ = 90.00°
Last column: nearest neighbours and their distance in Å.
Element x y z (fractional)
Dy: 0.0754 0.7348 0.5996  6 Dy 3.30-3.60, 3 Th 3.49-3.62, 1 Sc 3.51
Th: 0.2228 0.2089 0.5558  4 Sc 3.34-3.68, 6 Dy 3.35-3.62, 1 Th 3.61
Dy: 0.4592 0.6310 0.3240  3 Sc 3.22-3.31, 1 Th 3.29, 4 Dy 3.32-3.47
Dy: 0.7062 0.8349 0.7545  5 Dy 3.28-3.65, 2 Th 3.30-3.35, 2 Sc 3.45-3.65
Dy: 0.1517 0.3768 0.8957  2 Sc 3.29-3.42, 5 Dy 3.46-3.65, 1 Th 3.60
Th: 0.5000 0.3105 0.0000  6 Dy 3.17-3.42, 2 Sc 3.29
Th: 0.0000 0.9351 0.0000  2 Dy 3.30, 4 Sc 3.44-3.45
Sc: 0.3990 0.7848 0.6320  1 Sc 3.13, 5 Dy 3.15-3.37, 2 Th 3.29-3.34
Dy: 0.8483 0.4811 0.1043  2 Sc 3.29-3.42, 5 Dy 3.46-3.65, 1 Th 3.60
Sc: 0.1421 0.5679 0.2649  1 Sc 3.13, 3 Dy 3.29-3.45, 3 Th 3.44-3.49
Dy: 0.9246 0.1352 0.4004  6 Dy 3.30-3.60, 3 Th 3.49-3.62, 1 Sc 3.51
Sc: 0.6010 0.1528 0.3680  1 Sc 3.13, 5 Dy 3.15-3.37, 2 Th 3.29-3.34
Dy: 0.2938 0.0804 0.2455  5 Dy 3.28-3.65, 2 Th 3.30-3.35, 2 Sc 3.45-3.65
Dy: 0.3563 0.8082 0.9416  2 Sc 3.15-3.37, 2 Th 3.17-3.42, 5 Dy 3.28-3.46
Dy: 0.6437 0.8666 0.0584  2 Sc 3.15-3.37, 2 Th 3.17-3.42, 5 Dy 3.28-3.46
Th: 0.7772 0.6532 0.4442  4 Sc 3.34-3.68, 6 Dy 3.35-3.62, 1 Th 3.61
Sc: 0.8579 0.3030 0.7351  1 Sc 3.13, 3 Dy 3.29-3.45, 3 Th 3.44-3.49
Dy: 0.5408 0.3070 0.6760  3 Sc 3.22-3.31, 1 Th 3.29, 4 Dy 3.32-3.47

***

No. 5
Here is a relaxed structure of Dy6ThSc from Alexandria via LeMat-Bulk. Energies are from PBE.

a = 6.6876 Å, b = 6.4235 Å, c = 6.7036 Å
α = 89.25°, β = 60.13°, γ = 95.35°
Last column: nearest neighbours and their distance in Å.
Element x y z (fractional)
Dy: 0.5767 0.7553 0.9535  6 Dy 3.22-3.49, 1 Sc 3.26, 1 Th 3.54
Dy: 0.4233 0.2447 0.0465  6 Dy 3.22-3.49, 1 Sc 3.26, 1 Th 3.54
Dy: 0.4200 0.2459 0.5282  6 Dy 3.22-3.49, 1 Sc 3.25, 1 Th 3.56
Sc: 0.0000 0.0000 0.0000  2 Th 3.21, 4 Dy 3.25-3.26
Th: 0.0000 0.5000 0.0000  2 Sc 3.21, 4 Dy 3.54-3.56
Dy: 0.9030 0.2355 0.5463  6 Dy 3.30-3.46
Dy: 0.0970 0.7645 0.4537  6 Dy 3.30-3.46
Dy: 0.5800 0.7541 0.4718  6 Dy 3.22-3.49, 1 Sc 3.25, 1 Th 3.56

***

No. 6
Here is a relaxed structure of Dy3ThSc3 from Alexandria via LeMat-Bulk. Energies are from PBE.

a = 5.4572 Å, b = 9.2263 Å, c = 9.2262 Å
α = 120.00°, β = 90.00°, γ = 90.00°
Last column: nearest neighbours and their distance in Å.
Element x y z (fractional)
Dy: 0.7500 0.1934 0.2463  5 Sc 3.38-3.59, 1 Th 3.42, 6 Dy 3.43-3.59
Sc: 0.2500 0.5142 0.9030  4 Sc 3.34-3.42, 3 Th 3.37-3.49, 5 Dy 3.38-3.59
Th: 0.7500 0.3333 0.6667  9 Sc 3.37-3.49, 3 Dy 3.42
Dy: 0.2500 0.9471 0.1934  5 Sc 3.38-3.59, 1 Th 3.42, 6 Dy 3.43-3.59
Sc: 0.7500 0.9030 0.3888  4 Sc 3.34-3.42, 3 Th 3.37-3.49, 5 Dy 3.38-3.59
Th: 0.2500 0.6667 0.3333  9 Sc 3.37-3.49, 3 Dy 3.42
Sc: 0.2500 0.0970 0.6112  4 Sc 3.34-3.42, 3 Th 3.37-3.49, 5 Dy 3.38-3.59
Sc: 0.2500 0.3888 0.4858  4 Sc 3.34-3.42, 3 Th 3.37-3.49, 5 Dy 3.38-3.59
Sc: 0.7500 0.6112 0.5142  4 Sc 3.34-3.42, 3 Th 3.37-3.49, 5 Dy 3.38-3.59
Dy: 0.7500 0.7536 0.9471  5 Sc 3.38-3.59, 1 Th 3.42, 6 Dy 3.43-3.59
Dy: 0.2500 0.8066 0.7537  5 Sc 3.38-3.59, 1 Th 3.42, 6 Dy 3.43-3.59
Sc: 0.7500 0.4858 0.0970  4 Sc 3.34-3.42, 3 Th 3.37-3.49, 5 Dy 3.38-3.59
Dy: 0.2500 0.2464 0.0529  5 Sc 3.38-3.59, 1 Th 3.42, 6 Dy 3.43-3.59
Dy: 0.7500 0.0529 0.8066  5 Sc 3.38-3.59, 1 Th 3.42, 6 Dy 3.43-3.59

***

No. 7
Here is a relaxed structure of Dy9Th2Sc from Alexandria via LeMat-Bulk. Energies are from PBE.

a = 4.9937 Å, b = 4.9937 Å, c = 14.9089 Å
α = 90.00°, β = 90.00°, γ = 90.00°
Last column: nearest neighbours and their distance in Å.
Element x y z (fractional)
Th: 0.0000 0.0000 0.3328  12 Dy 3.53-3.55
Dy: 0.0000 0.5000 0.8362  8 Dy 3.49-3.53, 2 Sc 3.49, 2 Th 3.55
Dy: 0.5000 0.5000 0.6694  8 Dy 3.52-3.55, 4 Th 3.53
Dy: 0.5000 0.5000 0.3306  8 Dy 3.52-3.55, 4 Th 3.53
Dy: 0.0000 0.5000 0.5000  4 Th 3.53, 8 Dy 3.53-3.55
Dy: 0.0000 0.5000 0.1638  8 Dy 3.49-3.53, 2 Sc 3.49, 2 Th 3.55
Dy: 0.5000 0.5000 0.0000  8 Dy 3.49, 4 Sc 3.53
Dy: 0.5000 0.0000 0.5000  4 Th 3.53, 8 Dy 3.53-3.55
Th: 0.0000 0.0000 0.6672  12 Dy 3.53-3.55
Dy: 0.5000 0.0000 0.1638  2 Sc 3.49, 8 Dy 3.49-3.53, 2 Th 3.55
Sc: 0.0000 0.0000 0.0000  12 Dy 3.49-3.53
Dy: 0.5000 0.0000 0.8362  8 Dy 3.49-3.53, 2 Sc 3.49, 2 Th 3.55

***

No. 8
Here is a relaxed structure of Dy2Th2Sc3 from Alexandria via LeMat-Bulk. Energies are from PBE.

a = 3.4130 Å, b = 8.1910 Å, c = 9.1022 Å
α = 58.82°, β = 67.94°, γ = 77.98°
Last column: nearest neighbours and their distance in Å.
Element x y z (fractional)
Th: 0.8066 0.7212 0.8325  6 Sc 3.39-3.60, 4 Th 3.41-3.71, 3 Dy 3.48-3.57
Th: 0.1934 0.2788 0.1675  6 Sc 3.39-3.60, 4 Th 3.41-3.71, 3 Dy 3.48-3.57
Sc: 0.3552 0.1327 0.5785  2 Sc 3.00-3.18, 1 Dy 3.27
Dy: 0.5854 0.4093 0.7097  5 Sc 3.27-3.45, 4 Dy 3.41-3.54, 3 Th 3.48-3.57
Sc: 0.6448 0.8673 0.4215  2 Sc 3.00-3.18, 1 Dy 3.27
Dy: 0.4146 0.5907 0.2903  5 Sc 3.27-3.45, 4 Dy 3.41-3.54, 3 Th 3.48-3.57
Sc: 0.0000 0.0000 0.0000  4 Sc 3.18-3.41, 4 Dy 3.44-3.45

***

Density of states at the Fermi level in states/eV/cell, matching the order above: 25.0 31.7 17.8 26.4 13.8 24.0 19.1 10.5
Formation enthalpy at 0 K in kJ/mol of atoms, matching the order above: 28 21 5 13 20 3 4 5